Entry 1:
# LiTcHgO4 (PBE, relaxed)
data_LiTcHgO4
_chemical_formula_sum 'Li2 Tc2 Hg2 O8'
_space_group_name_H-M_alt 'P 1 21/m 1'
_space_group_IT_number 11
_cell_length_a 5.7461
_cell_length_b 6.0857
_cell_length_c 8.9420
_cell_angle_alpha 90.00
_cell_angle_beta 106.46
_cell_angle_gamma 90.00
loop_
_space_group_symop_operation_xyz
'x,y,z'
'-x,-y,-z'
'-x,y+1/2,-z'
'x,-y+1/2,z'
loop_
_atom_site_label
_atom_site_fract_x
_atom_site_fract_y
_atom_site_fract_z
_atom_site_occupancy
Li1 0.1371 0.2500 0.0003 1
Tc1 0.3989 0.7500 0.2029 1
Hg1 0.0473 0.7500 0.5982 1
O1 0.2200 0.5200 0.1271 1
O2 0.3335 0.2500 0.8523 1
O3 0.4682 0.7500 0.4024 1
# V   299.9 Å³ per cell
# Final energy   -5.99 eV per atom
# ΔE_f (raw)   -1361 meV/atom

***

Entry 2:
# Li2HgTeO4 (PBE, relaxed)
data_Li2HgTeO4
_chemical_formula_sum 'Li8 Hg4 Te4 O16'
_space_group_name_H-M_alt 'C 1 2/c 1'
_space_group_IT_number 15
_cell_length_a 8.1440
_cell_length_b 10.9164
_cell_length_c 6.3321
_cell_angle_alpha 90.00
_cell_angle_beta 128.37
_cell_angle_gamma 90.00
loop_
_space_group_symop_operation_xyz
'x,y,z'
'-x,-y,-z'
'-x,y,-z+1/2'
'x,-y,z+1/2'
'x+1/2,y+1/2,z'
'-x+1/2,-y+1/2,-z'
'-x+1/2,y+1/2,-z+1/2'
'x+1/2,-y+1/2,z+1/2'
loop_
_atom_site_label
_atom_site_fract_x
_atom_site_fract_y
_atom_site_fract_z
_atom_site_occupancy
Li1 0.0000 0.0000 0.0000 1
Li2 0.2500 0.2500 0.0000 1
Hg1 0.0000 0.5000 0.0000 1
Te1 0.2500 0.2500 0.5000 1
O1 0.0402 0.2465 0.0434 1
O2 0.2272 0.0475 0.4510 1
# V   441.3 Å³ per cell
# Final energy   -4.43 eV per atom
# ΔE_f (raw)   -1043 meV/atom

***

> Among the records above, which one has the lowest V?

LiTcHgO4